{"formula": "Be2SiCN", "functional": "GGA-PBE", "state": "optimized geometry", "raw_formation_energy_mev_per_atom": 725, "rho_g_cm3": 1.47, "magmom_total_mub_per_cell": 0.00, "lattice": [[3.0578, 0.0000, 0.0000], [0.0000, 3.0578, 0.0000], [0.0000, 0.0000, 8.7278]], "species": ["Be", "Be", "Si", "C", "N"], "frac_coords": [[0.0000, 0.5000, 0.0000], [0.5000, 0.0000, 0.0000], [0.0000, 0.0000, 0.5000], [0.5000, 0.5000, 0.0000], [0.5000, 0.5000, 0.5000]]}

***

{"formula": "BeSi2CN", "functional": "GGA-PBE", "state": "optimized geometry", "raw_formation_energy_mev_per_atom": 1145, "rho_g_cm3": 2.81, "magmom_total_mub_per_cell": 0.00, "lattice": [[4.0990, 0.0000, 0.0000], [0.0000, 4.0990, 0.0000], [0.0000, 0.0000, 3.2083]], "species": ["Be", "Si", "Si", "C", "N"], "frac_coords": [[0.0000, 0.0000, 0.0000], [0.0000, 0.5000, 0.5000], [0.5000, 0.0000, 0.5000], [0.0000, 0.0000, 0.5000], [0.5000, 0.5000, 0.0000]]}